Record 1
12
Lattice="-1.503 3.277 -0.597 -0.609 0.517 -6.810 -7.942 -3.563 0.440" Properties=species:S:1:pos:R:3 comment="SmAgPbO3 | OQMD via LeMat-Bulk | PBE-GGA | relaxed" dft_energy_ev_per_atom=-6.11 crystal_system=orthorhombic total_magnetization_mub_per_fu=0.000 pbc="T T T"
Ag -3.385 1.571 -5.216
Ag -6.669 -1.341 -1.751
O -1.499 2.359 -5.644
O -3.470 2.237 -1.349
O -5.257 0.672 -5.436
O -4.797 -0.442 -1.532
O -6.584 -2.007 -5.618
O -8.555 -2.129 -1.324
Pb -2.687 0.353 -2.481
Pb -7.367 -0.123 -4.487
Sm 0.000 0.000 0.000
Sm -3.971 -1.782 0.220

=====

Record 2
8
Lattice="-0.961 2.021 1.836 -1.206 -0.269 -2.618 -9.718 -9.581 5.462" Properties=species:S:1:pos:R:3 comment="InCuMo4N2 | OQMD via LeMat-Bulk | PBE-GGA | relaxed" dft_energy_ev_per_atom=-8.22 crystal_system=hexagonal total_magnetization_mub_per_fu=0.002 pbc="T T T"
Cu 0.000 0.000 0.000
In -5.901 -3.532 3.082
Mo -2.479 -0.158 1.159
Mo -3.242 -3.197 1.822
Mo -6.475 -6.384 3.640
Mo -9.324 -6.907 5.006
N -3.469 -1.817 0.185
N -8.498 -6.775 3.011